Entry 1:
VASP calculation (PBE) on a relaxed structure of LaAuS2Cl.

```
5
Lattice="5.587 0.000 0.000 0.000 5.587 0.000 0.000 0.000 5.446" Properties=species:S:1:pos:R:3 pbc="T T T"
La 0.000 0.000 0.000
Au 2.794 2.794 2.723
S 0.000 2.794 0.000
S 2.794 0.000 0.000
Cl 0.000 0.000 2.723
```

- Uncorrected energy: -4.038 eV per atom
- Raw formation energy: -0.377 eV/atom
- Relative energy among the computed polymorphs: 0.380 eV/atom



Entry 2:
VASP calculation (PBE) on a relaxed structure of TaV2CoN.

```
5
Lattice="3.848 0.000 0.000 0.000 3.848 0.000 0.000 0.000 4.242" Properties=species:S:1:pos:R:3 pbc="T T T"
Ta 0.000 0.000 0.000
V 0.000 1.924 2.121
V 1.924 0.000 2.121
Co 1.924 1.924 0.000
N 0.000 0.000 2.121
```

- Uncorrected energy: -9.573 eV per atom
- Raw formation energy: -0.469 eV/atom



Entry 3:
VASP calculation (PBE) on a relaxed structure of B5C7.

```
12
Lattice="4.257 -1.257 0.000 4.257 1.257 0.000 -4.082 0.000 7.177" Properties=species:S:1:pos:R:3 pbc="T T T"
B 0.000 0.000 0.000
B -1.649 0.000 5.034
B 3.065 0.000 2.430
B 4.758 0.000 3.972
B 6.376 0.000 3.314
C 0.800 0.000 1.403
C -0.038 0.000 4.818
C 2.326 0.000 0.991
C 0.643 0.000 6.142
C 2.122 0.000 6.026
C 4.767 0.000 2.244
C 6.906 0.000 0.186
```

- Uncorrected energy: -7.820 eV per atom
- Relative energy among the computed polymorphs: 0.085 eV/atom



Entry 4:
VASP calculation (PBE) on a relaxed structure of Nd4DyAl5.

```
10
Lattice="3.704 0.000 0.000 0.000 3.704 0.000 0.000 0.000 18.513" Properties=species:S:1:pos:R:3 pbc="T T T"
Nd 0.000 0.000 1.881
Nd 0.000 0.000 5.648
Nd 0.000 0.000 12.866
Nd 0.000 0.000 16.632
Dy 0.000 0.000 9.257
Al 1.852 1.852 0.000
Al 1.852 1.852 3.763
Al 1.852 1.852 7.564
Al 1.852 1.852 10.950
Al 1.852 1.852 14.750
```

- Uncorrected energy: -4.601 eV per atom



Entry 5:
VASP calculation (PBE) on a relaxed structure of K2Ba2LiPb4.

```
9
Lattice="-3.754 3.754 5.528 3.754 -3.754 5.528 3.754 3.754 -5.528" Properties=species:S:1:pos:R:3 pbc="T T T"
K 0.000 0.000 2.608
K 0.000 0.000 8.448
Ba 3.754 0.000 2.764
Ba 0.000 3.754 2.764
Li 0.000 0.000 5.528
Pb 1.717 1.717 0.000
Pb 2.037 -2.037 5.528
Pb -2.037 2.037 5.528
Pb 2.037 2.037 5.528
```

- Uncorrected energy: -2.802 eV per atom



Entry 6:
VASP calculation (PBE) on a relaxed structure of ScTl2Ir.

```
4
Lattice="3.216 0.000 0.000 0.000 3.517 0.000 0.000 0.000 8.058" Properties=species:S:1:pos:R:3 pbc="T T T"
Sc 0.000 0.000 0.000
Tl 0.000 0.000 4.818
Tl 1.608 1.758 2.258
Ir 1.608 1.758 6.796
```

- Uncorrected energy: -5.166 eV per atom



Entry 7:
VASP calculation (PBE) on a relaxed structure of Er4TlCu2Ru.

```
8
Lattice="2.485 1.435 8.114 -2.485 1.435 8.114 0.000 -2.869 8.114" Properties=species:S:1:pos:R:3 pbc="T T T"
Er 0.000 0.000 2.804
Er 0.000 0.000 8.955
Er 0.000 0.000 15.387
Er 0.000 0.000 21.539
Tl 0.000 0.000 12.171
Cu 0.000 0.000 5.997
Cu 0.000 0.000 18.345
Ru 0.000 0.000 0.000
```

- Uncorrected energy: -5.106 eV per atom



Entry 8:
VASP calculation (PBE) on a relaxed structure of BaCa2F6.

```
9
Lattice="5.837 -2.185 0.000 5.837 2.185 0.000 -3.942 0.000 7.030" Properties=species:S:1:pos:R:3 pbc="T T T"
Ba 0.000 0.000 0.000
Ca -0.336 0.000 4.231
Ca 8.069 0.000 2.799
F -2.501 0.000 4.813
F 1.571 0.000 2.826
F 0.603 0.000 6.252
F 7.129 0.000 0.778
F 6.162 0.000 4.204
F 10.233 0.000 2.217
```

- Uncorrected energy: -5.775 eV per atom
- Raw formation energy: -3.869 eV/atom